# SrRhSe2 | the Alexandria database | PBE | relaxed
data_SrRhSe2
_chemical_formula_sum 'Sr1 Rh1 Se2'
_space_group_name_H-M_alt 'P 1'
_space_group_IT_number 1
_cell_length_a 4.957
_cell_length_b 4.957
_cell_length_c 4.957
_cell_angle_alpha 60.00
_cell_angle_beta 60.00
_cell_angle_gamma 60.00
loop_
_space_group_symop_operation_xyz
'x,y,z'
loop_
_atom_site_label
_atom_site_fract_x
_atom_site_fract_y
_atom_site_fract_z
Sr1 0.000 0.000 0.000
Rh1 0.500 0.500 0.500
Se1 0.250 0.250 0.250
Se2 0.750 0.750 0.750
# * total moment: 1.2 μB per formula unit
# * polymorph energy (0 for the lowest one): 0.403 eV/atom
# * calculated total energy: -18.113 eV/f.u.